No. 1
# La2AgRh2, optimized geometry, DFT GGA-PBE
data_La2AgRh2
_chemical_formula_sum 'La4 Ag2 Rh4'
_cell_length_a 7.661
_cell_length_b 7.661
_cell_length_c 3.913
_cell_angle_alpha 90.00
_cell_angle_beta 90.00
_cell_angle_gamma 90.00
_space_group_name_H-M_alt 'P 1'
_space_group_IT_number 1
_space_group_name_Hall 'P 1'
loop_
_atom_site_label
_atom_site_fract_x
_atom_site_fract_y
_atom_site_fract_z
Rh1 0.366 0.866 0.000
Rh2 0.866 0.634 0.000
Rh3 0.634 0.134 0.000
Rh4 0.134 0.366 0.000
Ag1 0.000 0.000 0.000
Ag2 0.500 0.500 0.000
La1 0.171 0.671 0.500
La2 0.671 0.829 0.500
La3 0.829 0.329 0.500
La4 0.329 0.171 0.500
# relative energy among the computed polymorphs: 0 meV per atom
# electronic total energy: -6.0790 eV per atom
# energy of formation: -0.597 eV per atom


No. 2
# Tl2FeSn2, optimized geometry, DFT GGA-PBE
data_Tl2FeSn2
_chemical_formula_sum 'Tl4 Fe2 Sn4'
_cell_length_a 6.958
_cell_length_b 6.958
_cell_length_c 5.490
_cell_angle_alpha 90.00
_cell_angle_beta 90.00
_cell_angle_gamma 90.00
_space_group_name_H-M_alt 'P 1'
_space_group_IT_number 1
_space_group_name_Hall 'P 1'
loop_
_atom_site_label
_atom_site_fract_x
_atom_site_fract_y
_atom_site_fract_z
Tl1 0.173 0.673 0.500
Tl2 0.673 0.827 0.500
Tl3 0.827 0.327 0.500
Tl4 0.327 0.173 0.500
Sn1 0.343 0.843 0.000
Sn2 0.843 0.657 0.000
Sn3 0.657 0.157 0.000
Sn4 0.157 0.343 0.000
Fe1 0.000 0.000 0.000
Fe2 0.500 0.500 0.000
# electronic total energy: -3.9384 eV per atom
# energy of formation: 0.302 eV per atom


No. 3
# LaCuGe2Rh, optimized geometry, DFT GGA-PBE
data_LaCuGe2Rh
_chemical_formula_sum 'La1 Cu1 Ge2 Rh1'
_cell_length_a 4.278
_cell_length_b 4.278
_cell_length_c 5.978
_cell_angle_alpha 110.97
_cell_angle_beta 110.97
_cell_angle_gamma 90.00
_space_group_name_H-M_alt 'P 1'
_space_group_IT_number 1
_space_group_name_Hall 'P 1'
loop_
_atom_site_label
_atom_site_fract_x
_atom_site_fract_y
_atom_site_fract_z
La1 0.000 0.000 0.000
Cu1 0.250 0.750 0.500
Ge1 0.626 0.626 0.252
Ge2 0.374 0.374 0.748
Rh1 0.750 0.250 0.500
# electronic total energy: -5.7963 eV per atom
# energy of formation: -0.674 eV per atom


No. 4
# MnAgRh, optimized geometry, DFT GGA-PBE
data_MnAgRh
_chemical_formula_sum 'Mn2 Ag2 Rh2'
_cell_length_a 4.363
_cell_length_b 3.179
_cell_length_c 7.057
_cell_angle_alpha 90.00
_cell_angle_beta 108.11
_cell_angle_gamma 90.00
_space_group_name_H-M_alt 'P 1'
_space_group_IT_number 1
_space_group_name_Hall 'P 1'
loop_
_atom_site_label
_atom_site_fract_x
_atom_site_fract_y
_atom_site_fract_z
Mn1 0.326 0.500 0.154
Mn2 0.674 0.500 0.846
Ag1 0.500 0.000 0.500
Ag2 0.000 0.500 0.500
Rh1 0.174 0.000 0.846
Rh2 0.826 0.000 0.154
# relative energy among the computed polymorphs: 0 meV per atom
# electronic total energy: -6.4116 eV per atom
# energy of formation: 0.046 eV per atom


No. 5
# CrIn5, optimized geometry, DFT GGA-PBE
data_CrIn5
_chemical_formula_sum 'Cr1 In5'
_cell_length_a 6.098
_cell_length_b 6.098
_cell_length_c 6.098
_cell_angle_alpha 60.00
_cell_angle_beta 60.00
_cell_angle_gamma 60.00
_space_group_name_H-M_alt 'P 1'
_space_group_IT_number 1
_space_group_name_Hall 'P 1'
loop_
_atom_site_label
_atom_site_fract_x
_atom_site_fract_y
_atom_site_fract_z
Cr1 0.000 0.000 0.000
In1 0.250 0.250 0.250
In2 0.625 0.625 0.625
In3 0.625 0.625 0.124
In4 0.124 0.625 0.625
In5 0.625 0.124 0.625
# relative energy among the computed polymorphs: 236 meV per atom
# electronic total energy: -3.4791 eV per atom
# energy of formation: 0.407 eV per atom


No. 6
# AlMo2Rh, optimized geometry, DFT GGA-PBE
data_AlMo2Rh
_chemical_formula_sum 'Al1 Mo2 Rh1'
_cell_length_a 5.164
_cell_length_b 5.164
_cell_length_c 5.164
_cell_angle_alpha 142.78
_cell_angle_beta 133.60
_cell_angle_gamma 60.93
_space_group_name_H-M_alt 'P 1'
_space_group_IT_number 1
_space_group_name_Hall 'P 1'
loop_
_atom_site_label
_atom_site_fract_x
_atom_site_fract_y
_atom_site_fract_z
Mo1 0.001 0.001 0.000
Mo2 0.499 0.499 0.000
Rh1 0.750 0.250 0.500
Al1 0.250 0.750 0.500
# electronic total energy: -8.5385 eV per atom
# energy of formation: -0.349 eV per atom


No. 7
# Ti3GeOs, optimized geometry, DFT GGA-PBE
data_Ti3GeOs
_chemical_formula_sum 'Ti3 Ge1 Os1'
_cell_length_a 4.572
_cell_length_b 4.572
_cell_length_c 4.572
_cell_angle_alpha 90.00
_cell_angle_beta 90.00
_cell_angle_gamma 90.00
_space_group_name_H-M_alt 'P 1'
_space_group_IT_number 1
_space_group_name_Hall 'P 1'
loop_
_atom_site_label
_atom_site_fract_x
_atom_site_fract_y
_atom_site_fract_z
Ge1 0.000 0.000 0.000
Os1 0.500 0.500 0.500
Ti1 0.000 0.500 0.000
Ti2 0.000 0.000 0.500
Ti3 0.500 0.000 0.000
# relative energy among the computed polymorphs: 363 meV per atom
# electronic total energy: -7.1034 eV per atom
# energy of formation: 0.803 eV per atom


No. 8
# CoNiHg3, optimized geometry, DFT GGA-PBE
data_CoNiHg3
_chemical_formula_sum 'Co1 Ni1 Hg3'
_cell_length_a 4.942
_cell_length_b 4.942
_cell_length_c 4.942
_cell_angle_alpha 90.00
_cell_angle_beta 90.00
_cell_angle_gamma 90.00
_space_group_name_H-M_alt 'P 1'
_space_group_IT_number 1
_space_group_name_Hall 'P 1'
loop_
_atom_site_label
_atom_site_fract_x
_atom_site_fract_y
_atom_site_fract_z
Ni1 0.000 0.000 0.000
Co1 0.500 0.500 0.500
Hg1 0.000 0.500 0.000
Hg2 0.000 0.000 0.500
Hg3 0.500 0.000 0.000
# relative energy among the computed polymorphs: 0 meV per atom
# electronic total energy: -1.9314 eV per atom
# energy of formation: 0.827 eV per atom


No. 9
# BaPaP2, optimized geometry, DFT GGA-PBE
data_BaPaP2
_chemical_formula_sum 'Ba1 Pa1 P2'
_cell_length_a 4.187
_cell_length_b 4.187
_cell_length_c 7.658
_cell_angle_alpha 74.13
_cell_angle_beta 74.13
_cell_angle_gamma 60.00
_space_group_name_H-M_alt 'P 1'
_space_group_IT_number 1
_space_group_name_Hall 'P 1'
loop_
_atom_site_label
_atom_site_fract_x
_atom_site_fract_y
_atom_site_fract_z
Ba1 0.500 0.500 0.500
Pa1 0.000 0.000 0.000
P1 0.732 0.732 0.803
P2 0.268 0.268 0.197
# relative energy among the computed polymorphs: 0 meV per atom
# electronic total energy: -6.7205 eV per atom
# energy of formation: -1.161 eV per atom


No. 10
# Ce8Zn3Ir2, optimized geometry, DFT GGA-PBE
data_Ce8Zn3Ir2
_chemical_formula_sum 'Ce8 Zn3 Ir2'
_cell_length_a 5.311
_cell_length_b 9.000
_cell_length_c 8.211
_cell_angle_alpha 123.23
_cell_angle_beta 82.46
_cell_angle_gamma 90.00
_space_group_name_H-M_alt 'P 1'
_space_group_IT_number 1
_space_group_name_Hall 'P 1'
loop_
_atom_site_label
_atom_site_fract_x
_atom_site_fract_y
_atom_site_fract_z
Ce1 0.049 0.657 0.314
Ce2 0.951 0.343 0.686
Ce3 0.959 0.139 0.277
Ce4 0.041 0.861 0.723
Ce5 0.562 0.584 0.745
Ce6 0.562 0.161 0.745
Ce7 0.438 0.839 0.255
Ce8 0.438 0.416 0.255
Zn1 0.500 0.000 0.000
Zn2 0.000 0.266 0.000
Zn3 0.000 0.734 0.000
Ir1 0.448 0.226 0.452
Ir2 0.552 0.774 0.548
# electronic total energy: -5.5733 eV per atom
# energy of formation: -0.264 eV per atom


No. 11
# CeSmY2Se6, optimized geometry, DFT GGA-PBE
data_CeSmY2Se6
_chemical_formula_sum 'Ce1 Sm1 Y2 Se6'
_cell_length_a 7.134
_cell_length_b 9.189
_cell_length_c 7.134
_cell_angle_alpha 61.12
_cell_angle_beta 63.34
_cell_angle_gamma 50.06
_space_group_name_H-M_alt 'P 1'
_space_group_IT_number 1
_space_group_name_Hall 'P 1'
loop_
_atom_site_label
_atom_site_fract_x
_atom_site_fract_y
_atom_site_fract_z
Ce1 0.352 0.666 0.587
Sm1 0.380 0.166 0.115
Y1 0.705 0.666 0.941
Y2 0.027 0.166 0.762
Se1 0.865 0.916 0.854
Se2 0.177 0.411 0.717
Se3 0.507 0.914 0.543
Se4 0.555 0.419 0.990
Se5 0.226 0.922 0.157
Se6 0.868 0.416 0.350
# raw formation energy: -1842 meV/atom
# electronic total energy: -6.2912 eV per atom


No. 12
# Be2GeAsRh, optimized geometry, DFT GGA-PBE
data_Be2GeAsRh
_chemical_formula_sum 'Be2 Ge1 As1 Rh1'
_cell_length_a 4.017
_cell_length_b 5.278
_cell_length_c 4.017
_cell_angle_alpha 90.00
_cell_angle_beta 90.00
_cell_angle_gamma 90.00
_space_group_name_H-M_alt 'P 1'
_space_group_IT_number 1
_space_group_name_Hall 'P 1'
loop_
_atom_site_label
_atom_site_fract_x
_atom_site_fract_y
_atom_site_fract_z
Be1 0.000 0.000 0.500
Be2 0.500 0.000 0.000
As1 0.000 0.500 0.000
Rh1 0.500 0.500 0.500
Ge1 0.000 0.000 0.000
# electronic total energy: -3.9297 eV per atom
# energy of formation: 0.884 eV per atom


No. 13
# Li2ZnP, optimized geometry, DFT GGA-PBE
data_Li2ZnP
_chemical_formula_sum 'Li2 Zn1 P1'
_cell_length_a 3.833
_cell_length_b 2.621
_cell_length_c 6.217
_cell_angle_alpha 65.36
_cell_angle_beta 90.00
_cell_angle_gamma 90.00
_space_group_name_H-M_alt 'P 1'
_space_group_IT_number 1
_space_group_name_Hall 'P 1'
loop_
_atom_site_label
_atom_site_fract_x
_atom_site_fract_y
_atom_site_fract_z
Li1 0.000 0.976 0.024
Li2 0.000 0.524 0.476
P1 0.500 0.250 0.250
Zn1 0.500 0.750 0.750
# relative energy among the computed polymorphs: 79 meV per atom
# electronic total energy: -2.9417 eV per atom
# energy of formation: -0.314 eV per atom


No. 14
# Y2HoS3, optimized geometry, DFT GGA-PBE
data_Y2HoS3
_chemical_formula_sum 'Y2 Ho1 S3'
_cell_length_a 3.918
_cell_length_b 5.516
_cell_length_c 6.760
_cell_angle_alpha 114.08
_cell_angle_beta 106.84
_cell_angle_gamma 90.00
_space_group_name_H-M_alt 'P 1'
_space_group_IT_number 1
_space_group_name_Hall 'P 1'
loop_
_atom_site_label
_atom_site_fract_x
_atom_site_fract_y
_atom_site_fract_z
Y1 0.168 0.668 0.336
Y2 0.832 0.332 0.664
Ho1 0.500 0.000 0.000
S1 0.500 0.500 0.000
S2 0.165 0.165 0.329
S3 0.835 0.835 0.671
# raw formation energy: -1988 meV/atom
# electronic total energy: -6.9690 eV per atom


No. 15
# Ce5TmPb4, optimized geometry, DFT GGA-PBE
data_Ce5TmPb4
_chemical_formula_sum 'Ce5 Tm1 Pb4'
_cell_length_a 5.576
_cell_length_b 6.794
_cell_length_c 9.516
_cell_angle_alpha 119.06
_cell_angle_beta 107.04
_cell_angle_gamma 90.00
_space_group_name_H-M_alt 'P 1'
_space_group_IT_number 1
_space_group_name_Hall 'P 1'
loop_
_atom_site_label
_atom_site_fract_x
_atom_site_fract_y
_atom_site_fract_z
Ce1 0.705 0.580 0.410
Ce2 0.884 0.149 0.768
Ce3 0.116 0.851 0.232
Ce4 0.500 0.500 0.000
Ce5 0.295 0.420 0.590
Tm1 0.500 0.000 0.000
Pb1 0.311 0.929 0.623
Pb2 0.913 0.671 0.827
Pb3 0.689 0.071 0.377
Pb4 0.087 0.329 0.173
# electronic total energy: -5.2392 eV per atom
# energy of formation: -0.342 eV per atom


No. 16
# Te2SeICl, optimized geometry, DFT GGA-PBE
data_Te2SeICl
_chemical_formula_sum 'Te2 Se1 I1 Cl1'
_cell_length_a 5.538
_cell_length_b 5.538
_cell_length_c 5.634
_cell_angle_alpha 90.00
_cell_angle_beta 90.00
_cell_angle_gamma 90.00
_space_group_name_H-M_alt 'P 1'
_space_group_IT_number 1
_space_group_name_Hall 'P 1'
loop_
_atom_site_label
_atom_site_fract_x
_atom_site_fract_y
_atom_site_fract_z
I1 0.000 0.000 0.500
Te1 0.000 0.500 0.000
Te2 0.500 0.000 0.000
Se1 0.000 0.000 0.000
Cl1 0.500 0.500 0.500
# relative energy among the computed polymorphs: 0 meV per atom
# raw formation energy: 475 meV/atom
# electronic total energy: -2.1576 eV per atom


No. 17
# HfTcAgIr2, optimized geometry, DFT GGA-PBE
data_HfTcAgIr2
_chemical_formula_sum 'Hf1 Tc1 Ag1 Ir2'
_cell_length_a 4.772
_cell_length_b 4.780
_cell_length_c 4.772
_cell_angle_alpha 90.00
_cell_angle_beta 90.00
_cell_angle_gamma 90.00
_space_group_name_H-M_alt 'P 1'
_space_group_IT_number 1
_space_group_name_Hall 'P 1'
loop_
_atom_site_label
_atom_site_fract_x
_atom_site_fract_y
_atom_site_fract_z
Ir1 0.000 0.000 0.500
Ir2 0.500 0.000 0.000
Hf1 0.000 0.500 0.000
Tc1 0.500 0.500 0.500
Ag1 0.000 0.000 0.000
# electronic total energy: -6.1719 eV per atom
# energy of formation: 2.007 eV per atom


No. 18
# La2TiNbN5, optimized geometry, DFT GGA-PBE
data_La2TiNbN5
_chemical_formula_sum 'La4 Ti2 Nb2 N10'
_cell_length_a 3.394
_cell_length_b 7.031
_cell_length_c 10.811
_cell_angle_alpha 90.00
_cell_angle_beta 90.00
_cell_angle_gamma 103.97
_space_group_name_H-M_alt 'P 1'
_space_group_IT_number 1
_space_group_name_Hall 'P 1'
loop_
_atom_site_label
_atom_site_fract_x
_atom_site_fract_y
_atom_site_fract_z
La1 0.860 0.720 0.792
La2 0.105 0.209 0.686
La3 0.140 0.280 0.292
La4 0.895 0.791 0.186
Ti1 0.534 0.068 0.959
Ti2 0.466 0.932 0.459
Nb1 0.780 0.559 0.509
Nb2 0.220 0.441 0.009
N1 0.365 0.731 0.998
N2 0.687 0.373 0.897
N3 0.497 0.994 0.791
N4 0.278 0.556 0.649
N5 0.946 0.893 0.543
N6 0.635 0.269 0.498
N7 0.313 0.627 0.397
N8 0.503 0.006 0.291
N9 0.722 0.444 0.149
N10 0.054 0.107 0.043
# raw formation energy: -1294 meV/atom
# electronic total energy: -9.0098 eV per atom


No. 19
# Sc4TcHg, optimized geometry, DFT GGA-PBE
data_Sc4TcHg
_chemical_formula_sum 'Sc4 Tc1 Hg1'
_cell_length_a 4.800
_cell_length_b 4.810
_cell_length_c 7.679
_cell_angle_alpha 71.71
_cell_angle_beta 71.79
_cell_angle_gamma 60.07
_space_group_name_H-M_alt 'P 1'
_space_group_IT_number 1
_space_group_name_Hall 'P 1'
loop_
_atom_site_label
_atom_site_fract_x
_atom_site_fract_y
_atom_site_fract_z
Sc1 0.636 0.636 0.092
Sc2 0.364 0.364 0.908
Sc3 0.118 0.117 0.646
Sc4 0.882 0.883 0.354
Tc1 0.000 0.000 0.000
Hg1 0.500 0.500 0.500
# relative energy among the computed polymorphs: 203 meV per atom
# electronic total energy: -6.0647 eV per atom
# energy of formation: -0.066 eV per atom


No. 20
# K2MgInCl5, optimized geometry, DFT GGA-PBE
data_K2MgInCl5
_chemical_formula_sum 'K2 Mg1 In1 Cl5'
_cell_length_a 4.901
_cell_length_b 7.319
_cell_length_c 8.624
_cell_angle_alpha 115.11
_cell_angle_beta 106.51
_cell_angle_gamma 90.00
_space_group_name_H-M_alt 'P 1'
_space_group_IT_number 1
_space_group_name_Hall 'P 1'
loop_
_atom_site_label
_atom_site_fract_x
_atom_site_fract_y
_atom_site_fract_z
K1 0.209 0.209 0.418
K2 0.791 0.791 0.582
Mg1 0.500 0.000 0.000
In1 0.000 0.500 0.000
Cl1 0.622 0.879 0.245
Cl2 0.378 0.121 0.755
Cl3 0.378 0.634 0.755
Cl4 0.622 0.366 0.245
Cl5 0.000 0.000 0.000
# raw formation energy: -1647 meV/atom
# electronic total energy: -3.3986 eV per atom